[1]
PBE Li4Er, optimized geometry; energy relative to the elements = 0.95 eV/atom
1.0
-4.964 2.433 -1.297
-0.761 -3.777 -4.171
-2.650 -3.472 3.628
Li Er
4 1
direct
0.500 0.500 0.000
0.000 0.500 0.500
0.000 0.000 0.000
0.500 0.000 0.500
0.500 0.500 0.500


[2]
PBE LiEr, optimized geometry; energy relative to the elements = 0.15 eV/atom; E above lowest polymorph = 0.0000 eV per atom
1.0
-3.307 -0.044 0.259
0.216 -4.607 1.969
2.067 2.460 5.530
Er Li
2 2
direct
0.676 0.250 0.352
0.324 0.750 0.648
0.937 0.250 0.871
0.063 0.750 0.129


[3]
PBE Li5Er, optimized geometry; energy relative to the elements = 0.11 eV/atom
1.0
3.295 0.000 0.000
0.000 5.254 0.000
0.000 -2.627 7.685
Li Er
5 1
direct
0.000 0.653 0.305
0.000 0.347 0.695
0.500 0.500 0.000
0.500 0.185 0.370
0.500 0.815 0.630
0.000 0.000 0.000


One value per record, in order, for spin magnetization: 0.94; 0.00; 0.00 μB/cell.
One value per record, in order, for DOS at the Fermi energy: 6.7; 3.0; 3.9 states/eV per cell.
One value per record, in order, for ρ: 1769; 5631; 2521 kg/m³.